VASP calculation (PBE) on a relaxed structure of La4Tb3ScS8.

It has space group R-3m (No. 166, hexagonal axes), with a = 7.9729 Å, b = 7.9729 Å, c = 19.9504 Å, α = 90.00°, β = 90.00° and γ = 120.00°. Symmetry generates all atoms from La at (0.0000, 0.0000, 0.0000), La at (0.0000, 0.5000, 0.0000), Tb at (0.0000, 0.5000, 0.5000), Sc at (0.0000, 0.0000, 0.5000), S at (0.0000, 0.0000, 0.2437) and S at (0.0087, 0.5044, 0.2419).

The calculation puts the electronic total energy at -0.486 Ry/atom. The uncorrected formation energy comes out at -2059 meV/atom. The mass density comes out at 6.05 g/cm3.

---

VASP calculation (PBE) on a relaxed structure of Tm2GaCu3.

It has space group Fmmm (No. 69), with a = 6.855 Å, b = 8.563 Å, c = 14.941 Å, α = 90.00°, β = 90.00° and γ = 90.00°. Symmetry generates all atoms from Tm at (0.243, 0.000, 0.000), Tm at (0.250, 0.250, 0.250), Ga at (0.000, 0.000, 0.334), Cu at (0.000, 0.000, 0.167) and Cu at (0.000, 0.249, 0.417).

As for the energy above the most stable polymorph in this dataset: 0.000 eV per atom. The calculation puts the electronic total energy at -0.324 Ry/atom. The calculation puts the formation energy from the elements at -0.37 eV/atom. The mass density comes out at 9.06 g/cm3.

---

VASP calculation (PBE) on a relaxed structure of Be2VBr.

It has space group Fm-3m (No. 225), with a = 6.087 Å, b = 6.087 Å, c = 6.087 Å, α = 90.00°, β = 90.00° and γ = 90.00°. Symmetry generates all atoms from Be at (0.250, 0.250, 0.250), V at (0.000, 0.000, 0.000) and Br at (0.000, 0.000, 0.500).

As for the energy above the most stable polymorph in this dataset: 0.364 eV per atom. The calculation puts the electronic total energy at -0.246 Ry/atom. The uncorrected formation energy comes out at 1215 meV/atom. The mass density comes out at 4.38 g/cm3.

---

VASP calculation (PBE) on a relaxed structure of La2Ho3Zn3.

It has space group Immm (No. 71), with a = 3.659 Å, b = 5.106 Å, c = 22.235 Å, α = 90.00°, β = 90.00° and γ = 90.00°. Symmetry generates all atoms from La at (0.000, 0.000, 0.226), Ho at (0.000, 0.000, 0.000), Ho at (0.000, 0.500, 0.112), Zn at (0.000, 0.000, 0.500) and Zn at (0.000, 0.500, 0.392).

The calculation puts the electronic total energy at -0.268 Ry/atom. The calculation puts the formation energy from the elements at -0.22 eV/atom. The mass density comes out at 7.75 g/cm3.

---

VASP calculation (PBE) on a relaxed structure of LiHSeBrF.

It has space group P1 (No. 1), with a = 3.708 Å, b = 4.340 Å, c = 6.435 Å, α = 93.55°, β = 96.35° and γ = 99.83°. Symmetry generates all atoms from Li at (0.000, 0.000, 0.000), H at (0.435, 0.568, 0.626), Se at (0.216, 0.820, 0.591), Br at (0.910, 0.541, 0.257) and F at (0.488, 0.021, 0.914).

As for the energy above the most stable polymorph in this dataset: 0.030 eV per atom. The calculation puts the electronic total energy at -0.256 Ry/atom. The mass density comes out at 3.05 g/cm3.

---

In order of appearance, D(E_F) = 26.4, 29.6, 13.4, 16.7, 0.0 states/eV/cell.